No. 1
Nd3Y2Tm7 | PBE-GGA | relaxed

a = 3.5119 Å, b = 6.3167 Å, c = 17.9054 Å
α = 75.77°, β = 90.00°, γ = 90.00°
Closest atoms and distances in Å follow each position.
Sites, in units of the cell vectors:
1 Nd 0.0000 0.1099 0.3423  2 Nd 3.51, 7 Tm 3.61-3.74, 4 Y 3.61-3.64
2 Nd 0.5000 0.5000 0.0000  2 Nd 3.51, 10 Tm 3.53-3.61
3 Nd 0.0000 0.8901 0.6577  2 Nd 3.51, 7 Tm 3.61-3.74, 4 Y 3.61-3.64
4 Tm 0.5000 0.9404 0.8349  1 Y 3.47, 8 Tm 3.51-3.64, 3 Nd 3.53-3.71
5 Tm 0.5000 0.0596 0.1651  1 Y 3.47, 8 Tm 3.51-3.64, 3 Nd 3.53-3.71
6 Tm 0.0000 0.0000 0.0000  8 Tm 3.49-3.54, 4 Nd 3.61
7 Tm 0.0000 0.5658 0.1641  2 Y 3.46, 7 Tm 3.49-3.64, 3 Nd 3.53-3.74
8 Tm 0.5000 0.2472 0.5001  2 Tm 3.12-3.19, 2 Y 3.42-3.44
9 Tm 0.0000 0.4342 0.8359  2 Y 3.46, 7 Tm 3.49-3.64, 3 Nd 3.53-3.74
10 Tm 0.5000 0.7528 0.4999  2 Tm 3.12-3.19, 2 Y 3.42-3.44
11 Y 0.5000 0.3812 0.6748  5 Tm 3.42-3.47, 2 Y 3.51, 4 Nd 3.61-3.64
12 Y 0.5000 0.6188 0.3252  5 Tm 3.42-3.47, 2 Y 3.51, 4 Nd 3.61-3.64

Values from the calculation:
- V (Å³ per atom) = 32.09
- uncorrected energy (eV/atom) = -4.785
- total magnetization (Bohr magnetons per cell) = 0.0
- formation energy from the elements (eV/atom) = 0.093
- D(E_F) (states/eV/atom) = 1.496
- SG = No. 10



No. 2
Y2Al3Si2 | PBE-GGA | relaxed

a = 4.0566 Å, b = 5.4861 Å, c = 6.6255 Å
α = 100.43°, β = 90.05°, γ = 111.71°
Closest atoms and distances in Å follow each position.
Sites, in units of the cell vectors:
1 Al 0.6952 0.3896 0.8667  2 Si 2.61, 2 Al 2.78
2 Al 0.3048 0.6104 0.1333  2 Si 2.61, 2 Al 2.78
3 Al 0.0000 0.0000 0.0000  2 Si 2.73, 4 Y 3.02-3.03
4 Si 0.0932 0.1859 0.6405  1 Si 2.38, 2 Al 2.61
5 Si 0.9068 0.8141 0.3595  1 Si 2.38, 2 Al 2.61
6 Y 0.6197 0.2394 0.3223  5 Si 2.89-3.01, 5 Al 3.02-3.21
7 Y 0.3803 0.7606 0.6777  5 Si 2.89-3.01, 5 Al 3.02-3.21

Values from the calculation:
- V (Å³ per atom) = 19.19
- uncorrected energy (eV/atom) = -5.558
- total magnetization (Bohr magnetons per cell) = 0.0
- D(E_F) (states/eV/atom) = 0.329
- SG = No. 12



No. 3
SnHgNF2 | PBE-GGA | relaxed

a = 4.5991 Å, b = 4.5991 Å, c = 4.1938 Å
α = 90.00°, β = 90.00°, γ = 90.00°
Closest atoms and distances in Å follow each position.
Sites, in units of the cell vectors:
1 Hg 0.0000 0.0000 0.0000  2 N 2.10, 4 F 2.30
2 Sn 0.5000 0.5000 0.5000  8 F 3.11, 4 N 3.25
3 N 0.0000 0.0000 0.5000  2 Hg 2.10
4 F 0.5000 0.0000 0.0000  2 Hg 2.30
5 F 0.0000 0.5000 0.0000  2 Hg 2.30

Values from the calculation:
- V (Å³ per atom) = 17.74
- energy relative to the lowest polymorph listed for this composition (eV per atom) = 0.552
- uncorrected energy (eV/atom) = -3.380
- total magnetization (Bohr magnetons per cell) = 0.7
- D(E_F) (states/eV/atom) = 0.410
- SG = No. 123



No. 4
ZrBeNi2 | PBE-GGA | relaxed

a = 4.7295 Å, b = 4.7295 Å, c = 4.7295 Å
α = 48.12°, β = 48.12°, γ = 48.12°
Closest atoms and distances in Å follow each position.
Sites, in units of the cell vectors:
1 Be 0.7500 0.7500 0.7500  6 Ni 2.29
2 Zr 0.2500 0.2500 0.2500  8 Ni 2.64-2.70
3 Ni 0.4608 0.4608 0.4608  3 Be 2.29, 3 Ni 2.49
4 Ni 0.0392 0.0392 0.0392  3 Be 2.29, 3 Ni 2.49

Values from the calculation:
- V (Å³ per atom) = 13.43
- energy relative to the lowest polymorph listed for this composition (eV per atom) = 0.076
- uncorrected energy (eV/atom) = -6.325
- total magnetization (Bohr magnetons per cell) = 0.0
- formation energy from the elements (eV/atom) = -0.365
- D(E_F) (states/eV/atom) = 0.573
- SG = No. 166



No. 5
HgOs3 | PBE-GGA | relaxed

a = 5.0529 Å, b = 5.0529 Å, c = 5.0529 Å
α = 90.00°, β = 90.00°, γ = 90.00°
Closest atoms and distances in Å follow each position.
Sites, in units of the cell vectors:
1 Os 0.7500 0.5000 0.0000  2 Os 2.53, 4 Hg 2.82
2 Os 0.2500 0.5000 0.0000  2 Os 2.53, 4 Hg 2.82
3 Os 0.5000 0.0000 0.2500  2 Os 2.53, 4 Hg 2.82
4 Os 0.0000 0.7500 0.5000  2 Os 2.53, 4 Hg 2.82
5 Os 0.5000 0.0000 0.7500  2 Os 2.53, 4 Hg 2.82
6 Os 0.0000 0.2500 0.5000  2 Os 2.53, 4 Hg 2.82
7 Hg 0.5000 0.5000 0.5000  12 Os 2.82
8 Hg 0.0000 0.0000 0.0000  12 Os 2.82

Values from the calculation:
- V (Å³ per atom) = 16.13
- energy relative to the lowest polymorph listed for this composition (eV per atom) = 0.857
- uncorrected energy (eV/atom) = -7.248
- total magnetization (Bohr magnetons per cell) = 0.0
- formation energy from the elements (eV/atom) = 1.249
- D(E_F) (states/eV/atom) = 1.418
- SG = No. 223



No. 6
GaBiOs2W | PBE-GGA | relaxed

a = 4.9489 Å, b = 5.0508 Å, c = 4.9489 Å
α = 90.00°, β = 90.00°, γ = 90.00°
Closest atoms and distances in Å follow each position.
Sites, in units of the cell vectors:
1 W 0.5000 0.5000 0.5000  4 Ga 3.50, 8 Os 3.54
2 Os 0.0000 0.0000 0.5000  2 Bi 2.47
3 Os 0.5000 0.0000 0.0000  2 Bi 2.47
4 Bi 0.0000 0.0000 0.0000  4 Os 2.47, 2 Ga 2.53
5 Ga 0.0000 0.5000 0.0000  2 Bi 2.53

Values from the calculation:
- V (Å³ per atom) = 24.74
- energy relative to the lowest polymorph listed for this composition (eV per atom) = 1.228
- uncorrected energy (eV/atom) = -5.489
- total magnetization (Bohr magnetons per cell) = 3.0
- formation energy from the elements (eV/atom) = 2.975
- D(E_F) (states/eV/atom) = 0.948
- SG = No. 123



No. 7
Ba2Al2Pd | PBE-GGA | relaxed

a = 6.9714 Å, b = 6.9714 Å, c = 5.6816 Å
α = 90.00°, β = 90.00°, γ = 90.00°
Closest atoms and distances in Å follow each position.
Sites, in units of the cell vectors:
1 Al 0.8585 0.6415 0.0000  2 Pd 2.69, 1 Al 2.79
2 Al 0.1415 0.3585 0.0000  2 Pd 2.69, 1 Al 2.79
3 Al 0.6415 0.1415 0.0000  2 Pd 2.69, 1 Al 2.79
4 Al 0.3585 0.8585 0.0000  2 Pd 2.69, 1 Al 2.79
5 Ba 0.3224 0.1776 0.5000  6 Al 3.35-3.62, 5 Ba 3.50-3.63
6 Ba 0.1776 0.6776 0.5000  6 Al 3.35-3.62, 5 Ba 3.50-3.63
7 Ba 0.8224 0.3224 0.5000  6 Al 3.35-3.62, 5 Ba 3.50-3.63
8 Ba 0.6776 0.8224 0.5000  6 Al 3.35-3.62, 5 Ba 3.50-3.63
9 Pd 0.5000 0.5000 0.0000  4 Al 2.69
10 Pd 0.0000 0.0000 0.0000  4 Al 2.69

Values from the calculation:
- V (Å³ per atom) = 27.61
- energy relative to the lowest polymorph listed for this composition (eV per atom) = 0.273
- uncorrected energy (eV/atom) = -3.471
- total magnetization (Bohr magnetons per cell) = 0.0
- formation energy from the elements (eV/atom) = -0.167
- D(E_F) (states/eV/atom) = 0.596
- SG = No. 127



No. 8
CaTiPt2 | PBE-GGA | relaxed

a = 4.6824 Å, b = 4.6824 Å, c = 4.6824 Å
α = 60.00°, β = 60.00°, γ = 60.00°
Closest atoms and distances in Å follow each position.
Sites, in units of the cell vectors:
1 Ca 0.0000 0.0000 0.0000  8 Pt 2.87
2 Pt 0.2500 0.2500 0.2500  4 Ti 2.87, 4 Ca 2.87
3 Pt 0.7500 0.7500 0.7500  4 Ti 2.87, 4 Ca 2.87
4 Ti 0.5000 0.5000 0.5000  8 Pt 2.87

Values from the calculation:
- V (Å³ per atom) = 18.15
- energy relative to the lowest polymorph listed for this composition (eV per atom) = 0.222
- uncorrected energy (eV/atom) = -6.175
- total magnetization (Bohr magnetons per cell) = 0.0
- formation energy from the elements (eV/atom) = -0.680
- D(E_F) (states/eV/atom) = 1.035
- SG = No. 225